(A)
5
Lattice="-0.687 1.376 3.981 -0.638 -4.021 1.280 4.275 -0.399 0.876" Properties=species:S:1:pos:R:3 comment="PBE ReBAs2Se, optimized geometry" sg="No. 123" dos_ef_per_ev_fu=3.0 pbc="T T T"
Re 1.475 -1.522 3.068
As -0.319 -2.011 0.640
As -0.343 0.688 1.991
B 0.000 0.000 0.000
Se 2.138 -0.200 0.438

=====

(B)
5
Lattice="-0.282 -4.421 -1.626 4.681 -0.448 0.405 -0.598 -1.780 4.945" Properties=species:S:1:pos:R:3 comment="PBE ReBAs2Se, optimized geometry" sg="No. 123" dos_ef_per_ev_fu=4.9 pbc="T T T"
Re 0.000 0.000 0.000
As 2.340 -0.224 0.202
As -0.141 -2.211 -0.813
B 1.900 -3.325 1.862
Se -0.299 -0.890 2.472

=====

Top of the stability list: (A), leading by 0.206 eV/atom.

=====

(A)
5
Lattice="-2.763 3.144 0.962 -1.790 -0.384 -3.885 -2.758 -2.900 1.557" Properties=species:S:1:pos:R:3 comment="PBE BAs3Rh, optimized geometry" sg="No. 221" dos_ef_per_ev_fu=2.8 pbc="T T T"
As -0.895 -0.192 -1.942
As -1.379 -1.450 0.779
As -1.381 1.572 0.481
B 0.000 0.000 0.000
Rh -3.655 -0.070 -0.682

=====

(B)
5
Lattice="4.796 0.000 0.000 0.000 4.796 0.000 0.000 0.000 4.796" Properties=species:S:1:pos:R:3 comment="PBE BAs3Rh, optimized geometry" sg="No. 221" dos_ef_per_ev_fu=6.4 pbc="T T T"
As 0.000 2.398 0.000
As 0.000 0.000 2.398
As 2.398 0.000 0.000
B 2.398 2.398 2.398
Rh 0.000 0.000 0.000

=====

Top of the stability list: (A), leading by 0.608 eV/atom.

=====

(A)
8
Lattice="5.090 0.000 0.000 0.000 5.090 0.000 2.545 2.545 5.009" Properties=species:S:1:pos:R:3 comment="PBE BAsRh2, optimized geometry" sg="No. 122" dos_ef_per_ev_fu=1.9 pbc="T T T"
As 0.000 0.000 0.000
As 5.090 2.545 2.505
B 2.545 2.545 0.000
B 2.545 5.090 2.505
Rh 3.490 1.272 1.252
Rh 1.599 3.817 1.252
Rh 3.817 4.144 3.757
Rh 6.362 6.035 3.757

=====

(B)
4
Lattice="0.000 2.937 2.937 2.937 0.000 2.937 2.937 2.937 0.000" Properties=species:S:1:pos:R:3 comment="PBE BAsRh2, optimized geometry" sg="No. 225" dos_ef_per_ev_fu=5.1 pbc="T T T"
As 2.937 2.937 2.937
B 0.000 0.000 0.000
Rh 1.469 1.469 1.469
Rh 4.406 4.406 4.406

=====

Top of the stability list: (A), leading by 0.350 eV/atom.

=====

(A)
10
Lattice="-5.423 -0.083 3.382 1.354 -5.909 2.027 1.385 1.088 2.247" Properties=species:S:1:pos:R:3 comment="PBE B2AsRh2, optimized geometry" sg="No. 127" dos_ef_per_ev_fu=3.2 pbc="T T T"
As 0.000 0.000 0.000
As -2.034 -2.996 2.704
B -0.937 -5.331 3.159
B -4.046 -3.639 4.256
B -3.132 -0.660 2.249
B -0.023 -2.353 1.153
Rh 0.696 -3.403 3.033
Rh -1.787 -4.441 5.066
Rh -3.379 -1.500 4.623
Rh -0.896 -0.462 2.590

=====

(B)
5
Lattice="-1.808 0.031 3.497 -2.391 -2.884 -1.210 0.403 -4.053 2.461" Properties=species:S:1:pos:R:3 comment="PBE B2AsRh2, optimized geometry" sg="No. 139" dos_ef_per_ev_fu=2.3 pbc="T T T"
As 0.000 0.000 0.000
B -1.544 -2.009 1.436
B -2.251 -4.897 3.312
Rh -1.752 -2.724 3.551
Rh -2.043 -4.182 1.197

=====

Top of the stability list: (B), leading by 0.190 eV/atom.